Density functional theory data (PBE) for RbEr2RuO8 after structural relaxation.

Unit cell a=4.7790 b=4.5335 c=7.7028 alpha=81.63 beta=86.00 gamma=94.41
Positions (direct):
1 O 0.5203 0.3380 0.4965
2 O 0.0830 0.7102 0.1972
3 O 0.7069 0.1011 0.1621
4 O 0.7380 0.7087 0.9360
5 O 0.9170 0.2898 0.8028
6 O 0.4797 0.6620 0.5035
7 O 0.2931 0.8989 0.8379
8 O 0.2620 0.2913 0.0640
9 Er 0.5372 0.5719 0.2151
10 Er 0.4628 0.4281 0.7849
11 Ru 0.0000 0.0000 0.0000
12 Rb 0.0000 0.0000 0.5000

Calculated values
VASP energy = -6.7840 eV/atom
Raw formation energy = -1864 meV/atom
Total magnetization = 0.97 μB per formula unit
N(E_F) = 4.01 states/eV per cell


Density functional theory data (PBE) for ZrCdAu after structural relaxation.

Unit cell a=3.4002 b=3.4008 c=10.8862 alpha=89.99 beta=90.03 gamma=90.00
Positions (direct):
1 Au 0.8729 0.2911 0.5012
2 Au 0.3719 0.7911 0.0111
3 Zr 0.8722 0.2911 0.1627
4 Zr 0.3726 0.7911 0.3496
5 Cd 0.8720 0.2911 0.8473
6 Cd 0.3729 0.7912 0.6650

Calculated values
VASP energy = -4.5813 eV/atom
Total magnetization = 0.00 μB per formula unit
N(E_F) = 2.61 states/eV per cell


Density functional theory data (PBE) for ScTiTlI2 after structural relaxation.

Unit cell a=5.3817 b=5.6617 c=5.3817 alpha=90.00 beta=90.00 gamma=90.00
Positions (direct):
1 Sc 0.5000 0.5000 0.5000
2 Tl 0.0000 0.5000 0.0000
3 I 0.5000 0.0000 0.0000
4 I 0.0000 0.0000 0.5000
5 Ti 0.0000 0.0000 0.0000

Calculated values
VASP energy = -3.6354 eV/atom
Raw formation energy = 303 meV/atom
Total magnetization = 1.76 μB per formula unit
N(E_F) = 7.15 states/eV per cell


Density functional theory data (PBE) for K2YNbIr after structural relaxation.

Unit cell a=6.5483 b=4.9090 c=6.5483 alpha=90.00 beta=90.00 gamma=90.00
Positions (direct):
1 Ir 0.0000 0.5000 0.0000
2 Y 0.0000 0.0000 0.0000
3 Nb 0.5000 0.5000 0.5000
4 K 0.0000 0.0000 0.5000
5 K 0.5000 0.0000 0.0000

Calculated values
VASP energy = -3.8463 eV/atom
Total magnetization = 4.57 μB per formula unit
N(E_F) = 4.38 states/eV per cell


Density functional theory data (PBE) for Th2GaCo after structural relaxation.

Unit cell a=3.4704 b=3.4704 c=7.6029 alpha=90.00 beta=90.00 gamma=90.00
Positions (direct):
1 Th 0.0000 0.0000 0.2215
2 Th 0.0000 0.0000 0.7785
3 Co 0.5000 0.5000 0.0000
4 Ga 0.5000 0.5000 0.5000

Calculated values
VASP energy = -6.4893 eV/atom
Total magnetization = 0.00 μB per formula unit
Polymorph energy (0 for the lowest one) = 138 meV per atom
N(E_F) = 3.99 states/eV per cell


Density functional theory data (PBE) for InPt2Cl after structural relaxation.

Unit cell a=8.4164 b=8.4164 c=8.4164 alpha=21.98 beta=21.98 gamma=21.98
Positions (direct):
1 In 0.7500 0.7500 0.7500
2 Pt 0.0017 0.0017 0.0017
3 Pt 0.4983 0.4983 0.4983
4 Cl 0.2500 0.2500 0.2500

Calculated values
VASP energy = -4.1467 eV/atom
Raw formation energy = 20 meV/atom
Total magnetization = 0.00 μB per formula unit
Polymorph energy (0 for the lowest one) = 125 meV per atom
N(E_F) = 2.20 states/eV per cell


Density functional theory data (PBE) for Tb6DySc after structural relaxation.

Unit cell a=6.7176 b=6.4476 c=6.9600 alpha=103.88 beta=59.71 gamma=91.97
Positions (direct):
1 Tb 0.4466 0.2474 0.9947
2 Tb 0.5643 0.7729 0.5330
3 Tb 0.0923 0.7384 0.4919
4 Tb 0.9077 0.2616 0.5081
5 Tb 0.5534 0.7526 0.0053
6 Tb 0.4357 0.2271 0.4670
7 Sc 0.0000 0.0000 0.0000
8 Dy 0.0000 0.5000 0.0000

Calculated values
VASP energy = -4.6349 eV/atom
Total magnetization = 0.00 μB per formula unit
Polymorph energy (0 for the lowest one) = 174 meV per atom
N(E_F) = 13.54 states/eV per cell


Density functional theory data (PBE) for BeIN2 after structural relaxation.

Unit cell a=4.8177 b=4.8177 c=5.4617 alpha=63.83 beta=63.83 gamma=90.00
Positions (direct):
1 N 0.8750 0.7602 0.7500
2 N 0.2398 0.6250 0.2500
3 N 0.3750 0.4898 0.7500
4 N 0.5102 0.1250 0.2500
5 Be 0.5000 0.5000 0.0000
6 Be 0.2500 0.7500 0.5000
7 I 0.7500 0.2500 0.5000
8 I 0.0000 0.0000 0.0000

Calculated values
VASP energy = -4.5265 eV/atom
Raw formation energy = 955 meV/atom
Total magnetization = 0.00 μB per formula unit
Polymorph energy (0 for the lowest one) = 1009 meV per atom
N(E_F) = 5.93 states/eV per cell


Density functional theory data (PBE) for Li5Sb3 after structural relaxation.

Unit cell a=8.3497 b=8.3497 c=5.5896 alpha=90.00 beta=90.00 gamma=120.00
Positions (direct):
1 Li 0.0000 0.2618 0.2500
2 Li 0.3333 0.6667 0.5000
3 Li 0.2618 0.0000 0.2500
4 Li 0.6667 0.3333 0.5000
5 Li 0.6667 0.3333 0.0000
6 Li 0.7382 0.0000 0.7500
7 Li 0.3333 0.6667 0.0000
8 Li 0.0000 0.7382 0.7500
9 Li 0.2618 0.2618 0.7500
10 Li 0.7382 0.7382 0.2500
11 Sb 0.3950 0.0000 0.7500
12 Sb 0.0000 0.6050 0.2500
13 Sb 0.0000 0.3950 0.7500
14 Sb 0.3950 0.3950 0.2500
15 Sb 0.6050 0.0000 0.2500
16 Sb 0.6050 0.6050 0.7500

Calculated values
VASP energy = -3.1782 eV/atom
Raw formation energy = -436 meV/atom
Total magnetization = 0.00 μB per formula unit
Polymorph energy (0 for the lowest one) = 28 meV per atom
N(E_F) = 6.77 states/eV per cell


Density functional theory data (PBE) for CaNi2Cl after structural relaxation.

Unit cell a=4.6124 b=4.6124 c=4.6124 alpha=120.08 beta=120.08 gamma=89.86
Positions (direct):
1 Ni 0.0000 0.0000 0.0000
2 Ni 0.2500 0.7500 0.5000
3 Cl 0.7500 0.2500 0.5000
4 Ca 0.5000 0.5000 0.0000

Calculated values
VASP energy = -3.7690 eV/atom
Raw formation energy = 84 meV/atom
Total magnetization = 0.82 μB per formula unit
Polymorph energy (0 for the lowest one) = 487 meV per atom
N(E_F) = 9.33 states/eV per cell


Density functional theory data (PBE) for BaAc2RuO8 after structural relaxation.

Unit cell a=4.5841 b=5.7067 c=7.6020 alpha=90.02 beta=90.01 gamma=92.18
Positions (direct):
1 Ac 0.5001 0.5001 0.7485
2 Ac 0.4999 0.4999 0.2515
3 O 0.9569 0.2375 0.1801
4 O 0.5077 0.7352 0.5000
5 O 0.0433 0.7627 0.1800
6 O 0.4150 0.1014 0.0000
7 O 0.4923 0.2648 0.5000
8 O 0.9567 0.2373 0.8200
9 O 0.5850 0.8986 0.0000
10 O 0.0431 0.7625 0.8199
11 Ru 0.0000 0.0000 0.0000
12 Ba 0.0000 0.0000 0.5000

Calculated values
VASP energy = -6.9865 eV/atom
Raw formation energy = -2063 meV/atom
Total magnetization = 1.99 μB per formula unit
N(E_F) = 2.85 states/eV per cell


Density functional theory data (PBE) for Li5BiAu6 after structural relaxation.

Unit cell a=7.8616 b=4.6407 c=7.4257 alpha=71.79 beta=79.32 gamma=53.62
Positions (direct):
1 Au 0.7414 0.0764 0.3639
2 Au 0.2586 0.5596 0.3639
3 Au 0.7199 0.7805 0.0000
4 Au 0.2801 0.2195 0.0000
5 Au 0.2586 0.9236 0.6361
6 Au 0.7414 0.4404 0.6361
7 Li 0.0000 0.6636 0.6728
8 Li 0.5000 0.5000 0.0000
9 Li 0.5000 0.1636 0.6728
10 Li 0.0000 0.3364 0.3272
11 Li 0.5000 0.8364 0.3272
12 Bi 0.0000 0.0000 0.0000

Calculated values
VASP energy = -3.2071 eV/atom
Total magnetization = 0.00 μB per formula unit
Polymorph energy (0 for the lowest one) = 8 meV per atom
N(E_F) = 2.45 states/eV per cell


Density functional theory data (PBE) for PmMgGa2Au2 after structural relaxation.

Unit cell a=4.4683 b=4.4683 c=7.0864 alpha=90.00 beta=90.00 gamma=120.00
Positions (direct):
1 Mg 0.0000 0.0000 0.5000
2 Au 0.6667 0.3333 0.2980
3 Au 0.3333 0.6667 0.7020
4 Pm 0.0000 0.0000 0.0000
5 Ga 0.6667 0.3333 0.7264
6 Ga 0.3333 0.6667 0.2736

Calculated values
VASP energy = -3.7953 eV/atom
Total magnetization = 0.00 μB per formula unit
N(E_F) = 3.12 states/eV per cell


Density functional theory data (PBE) for Dy4Hg2PSe after structural relaxation.

Unit cell a=3.9419 b=6.8148 c=7.9873 alpha=106.48 beta=90.00 gamma=90.00
Positions (direct):
1 Dy 0.5000 0.2287 0.2145
2 Dy 0.0000 0.7497 0.2197
3 Dy 0.5000 0.7713 0.7855
4 Dy 0.0000 0.2503 0.7803
5 Hg 0.5000 0.0000 0.5000
6 Hg 0.0000 0.5000 0.5000
7 Se 0.5000 0.5000 0.0000
8 P 0.0000 0.0000 0.0000

Calculated values
VASP energy = -4.5519 eV/atom
Raw formation energy = -1064 meV/atom
Total magnetization = 0.00 μB per formula unit
N(E_F) = 3.85 states/eV per cell


Density functional theory data (PBE) for Nd2HfP3Rh12 after structural relaxation.

Unit cell a=6.7403 b=6.7403 c=6.7403 alpha=82.94 beta=82.94 gamma=82.94
Positions (direct):
1 Rh 0.6685 0.1743 0.1743
2 Rh 0.9154 0.3604 0.3604
3 Rh 0.3604 0.9154 0.3604
4 Rh 0.6396 0.6396 0.0846
5 Rh 0.8257 0.8257 0.3315
6 Rh 0.3604 0.3604 0.9154
7 Rh 0.8257 0.3315 0.8257
8 Rh 0.3315 0.8257 0.8257
9 Rh 0.0846 0.6396 0.6396
10 Rh 0.6396 0.0846 0.6396
11 Rh 0.1743 0.1743 0.6685
12 Rh 0.1743 0.6685 0.1743
13 Hf 0.0000 0.0000 0.0000
14 Nd 0.6230 0.6230 0.6230
15 Nd 0.3770 0.3770 0.3770
16 P 0.0000 0.0000 0.5000
17 P 0.5000 0.0000 0.0000
18 P 0.0000 0.5000 0.0000

Calculated values
VASP energy = -7.2043 eV/atom
Total magnetization = 0.00 μB per formula unit
N(E_F) = 18.65 states/eV per cell


Density functional theory data (PBE) for Hf2TiSb after structural relaxation.

Unit cell a=4.3910 b=4.3060 c=4.3060 alpha=90.00 beta=90.00 gamma=90.00
Positions (direct):
1 Hf 0.0000 0.0000 0.5000
2 Hf 0.0000 0.5000 0.0000
3 Sb 0.5000 0.0000 0.0000
4 Ti 0.5000 0.5000 0.5000

Calculated values
VASP energy = -8.2553 eV/atom
Raw formation energy = -274 meV/atom
Total magnetization = 0.00 μB per formula unit
N(E_F) = 4.83 states/eV per cell


Density functional theory data (PBE) for HoEr2TmAs4 after structural relaxation.

Unit cell a=4.0829 b=7.0686 c=7.0688 alpha=70.53 beta=90.00 gamma=90.00
Positions (direct):
1 As 0.5000 0.2496 0.7512
2 As 0.5000 0.7504 0.2488
3 As 0.0000 0.2505 0.2488
4 As 0.0000 0.7495 0.7512
5 Er 0.0000 0.0000 0.0000
6 Er 0.5000 0.0000 0.5000
7 Ho 0.0000 0.5000 0.5000
8 Tm 0.5000 0.5000 0.0000

Calculated values
VASP energy = -6.1154 eV/atom
Total magnetization = 0.00 μB per formula unit
N(E_F) = 1.09 states/eV per cell


Density functional theory data (PBE) for Dy2Tc2P2C after structural relaxation.

Unit cell a=3.9175 b=6.0381 c=6.6614 alpha=55.21 beta=90.01 gamma=71.04
Positions (direct):
1 Tc 0.8014 0.3970 0.6945
2 Tc 0.1986 0.6030 0.3055
3 Dy 0.5654 0.8687 0.8237
4 Dy 0.4346 0.1313 0.1763
5 C 0.0000 0.0000 0.0000
6 P 0.8259 0.3489 0.3582
7 P 0.1741 0.6511 0.6418

Calculated values
VASP energy = -8.0318 eV/atom
Total magnetization = 0.00 μB per formula unit
N(E_F) = 2.93 states/eV per cell


Density functional theory data (PBE) for BeAg2Te after structural relaxation.

Unit cell a=4.1460 b=4.4186 c=4.4450 alpha=80.68 beta=90.00 gamma=90.00
Positions (direct):
1 Ag 0.0000 0.4500 0.4507
2 Ag 0.0000 0.0500 0.0493
3 Be 0.5000 0.2500 0.2500
4 Te 0.5000 0.7500 0.7500

Calculated values
VASP energy = -2.8742 eV/atom
Raw formation energy = 268 meV/atom
Total magnetization = 0.00 μB per formula unit
Polymorph energy (0 for the lowest one) = 130 meV per atom
N(E_F) = 1.19 states/eV per cell


Density functional theory data (PBE) for NbCr2W after structural relaxation.

Unit cell a=3.0572 b=4.3389 c=4.3389 alpha=90.00 beta=90.00 gamma=90.00
Positions (direct):
1 Cr 0.0000 0.0000 0.5000
2 Cr 0.0000 0.5000 0.0000
3 Nb 0.5000 0.5000 0.5000
4 W 0.5000 0.0000 0.0000

Calculated values
VASP energy = -10.5555 eV/atom
Total magnetization = 0.00 μB per formula unit
Polymorph energy (0 for the lowest one) = 8 meV per atom
N(E_F) = 2.47 states/eV per cell


Density functional theory data (PBE) for NdSmTc after structural relaxation.

Unit cell a=4.0495 b=4.6380 c=26.0509 alpha=95.11 beta=21.31 gamma=90.00
Positions (direct):
1 Nd 0.2709 0.9149 0.8297
2 Nd 0.7291 0.0851 0.1703
3 Sm 0.1050 0.3038 0.6076
4 Sm 0.8950 0.6962 0.3924
5 Tc 0.1647 0.4654 0.9308
6 Tc 0.8353 0.5346 0.0692

Calculated values
VASP energy = -6.5243 eV/atom
Total magnetization = 0.00 μB per formula unit
Polymorph energy (0 for the lowest one) = 6 meV per atom
N(E_F) = 7.38 states/eV per cell


Density functional theory data (PBE) for HfSc3Tl3S8 after structural relaxation.

Unit cell a=7.5107 b=7.5110 c=8.7306 alpha=115.49 beta=90.00 gamma=120.00
Positions (direct):
1 S 0.2709 0.5417 0.3127
2 S 0.7731 0.0390 0.3121
3 S 0.2659 0.0390 0.3121
4 S 0.7731 0.5461 0.3121
5 S 0.7291 0.4583 0.6873
6 S 0.2269 0.9610 0.6879
7 S 0.2269 0.4539 0.6879
8 S 0.7341 0.9610 0.6879
9 Sc 0.5000 0.5000 0.5000
10 Sc 0.0000 0.5000 0.5000
11 Sc 0.5000 0.0000 0.5000
12 Tl 0.5000 0.5000 0.0000
13 Tl 0.0000 0.0000 0.0000
14 Tl 0.0000 0.5000 0.0000
15 Hf 0.0000 0.0000 0.5000

Calculated values
VASP energy = -6.0373 eV/atom
Raw formation energy = -1433 meV/atom
Total magnetization = 0.00 μB per formula unit


Density functional theory data (PBE) for TbAgCl4 after structural relaxation.

Unit cell a=6.7373 b=7.2106 c=9.7348 alpha=117.88 beta=116.75 gamma=73.68
Positions (direct):
1 Cl 0.5448 0.7682 0.0901
2 Cl 0.4552 0.2318 0.9099
3 Cl 0.9547 0.6781 0.9099
4 Cl 0.0453 0.3219 0.0901
5 Cl 0.2091 0.8852 0.3872
6 Cl 0.3219 0.4980 0.6128
7 Cl 0.7909 0.1148 0.6128
8 Cl 0.6781 0.5020 0.3872
9 Ag 0.0638 0.8138 0.6275
10 Ag 0.9362 0.1862 0.3725
11 Tb 0.6784 0.4284 0.8568
12 Tb 0.3216 0.5716 0.1432

Calculated values
VASP energy = -4.1248 eV/atom
Raw formation energy = -1647 meV/atom
Total magnetization = 0.00 μB per formula unit
N(E_F) = 0.00 states/eV per cell


Density functional theory data (PBE) for TaBeAg after structural relaxation.

Unit cell a=3.4811 b=7.6132 c=3.3714 alpha=90.00 beta=90.00 gamma=76.78
Positions (direct):
1 Ta 0.7781 0.4086 0.6026
2 Ta 0.6086 0.7467 0.1027
3 Be 0.2314 0.5016 0.1025
4 Be 0.1553 0.6537 0.6026
5 Ag 0.9925 0.9795 0.6028
6 Ag 0.3942 0.1758 0.1028

Calculated values
VASP energy = -6.1395 eV/atom
Total magnetization = 0.00 μB per formula unit
Polymorph energy (0 for the lowest one) = 0 meV per atom
N(E_F) = 1.97 states/eV per cell


Density functional theory data (PBE) for KCoAs2 after structural relaxation.

Unit cell a=5.4269 b=5.4269 c=6.0426 alpha=75.99 beta=75.99 gamma=35.52
Positions (direct):
1 As 0.7862 0.7862 0.7475
2 As 0.0349 0.0349 0.8408
3 K 0.2323 0.2323 0.2551
4 Co 0.4467 0.4467 0.6566

Calculated values
VASP energy = -4.3804 eV/atom
Total magnetization = 0.00 μB per formula unit
Polymorph energy (0 for the lowest one) = 237 meV per atom
N(E_F) = 1.91 states/eV per cell